Entry 1:
CaNbPb3 at its PBEsol-relaxed geometry. Source: the Alexandria database, functional meta-GGA SCAN.

Unit cell a=5.534 b=5.534 c=5.534 alpha=90.00 beta=90.00 gamma=90.00
Fractional positions:
Ca  0.000  0.000  0.000
Nb  0.500  0.500  0.500
Pb  0.000  0.000  0.500
Pb  0.000  0.500  0.000
Pb  0.500  0.000  0.000

DFT formation energy   1169.3 meV/atom
Calculated volume   169.5 Å³ per cell
Calculated density   7394 kg/m³
Energy   -264.29 eV per cell
Density of states at the Fermi level   5.22 states/eV/cell

Entry 2:
CrAs2Se at its PBEsol-relaxed geometry. Source: the Alexandria database, functional meta-GGA SCAN.

Unit cell a=6.087 b=6.087 c=6.087 alpha=149.93 beta=140.40 gamma=50.51
Fractional positions:
Cr  0.000  0.000  0.000
As  0.197  0.697  0.500
As  0.803  0.303  0.500
Se  0.500  0.500  0.000

Calculated volume   71.7 Å³ per cell
Calculated density   6504 kg/m³
Energy   -78.56 eV per cell
Density of states at the Fermi level   1.89 states/eV/cell
Formation energy (no corrections)   27.7 kJ/mol of formula units

Entry 3:
BeMo5 at its PBEsol-relaxed geometry. Source: the Alexandria database, functional meta-GGA SCAN.

Unit cell a=5.089 b=5.089 c=5.089 alpha=60.00 beta=60.00 gamma=60.00
Fractional positions:
Be  0.000  0.000  0.000
Mo  0.123  0.626  0.626
Mo  0.250  0.250  0.250
Mo  0.626  0.123  0.626
Mo  0.626  0.626  0.123
Mo  0.626  0.626  0.626

DFT formation energy   427.2 meV/atom
Calculated volume   93.2 Å³ per cell
Calculated density   8706 kg/m³
Energy   -176.22 eV per cell
Density of states at the Fermi level   2.08 states/eV/cell

Entry 4:
LiIn2Au at its PBEsol-relaxed geometry. Source: the Alexandria database, functional meta-GGA SCAN.

Unit cell a=5.225 b=5.225 c=5.225 alpha=132.21 beta=132.21 gamma=69.89
Fractional positions:
Li  0.000  0.000  0.000
In  0.250  0.750  0.500
In  0.500  0.500  0.000
Au  0.750  0.250  0.500

DFT formation energy   -332.6 meV/atom
Calculated volume   76.7 Å³ per cell
Calculated density   9382 kg/m³
Energy   -139.65 eV per cell
Density of states at the Fermi level   1.11 states/eV/cell

Entry 5:
SmEr3S6 at its PBEsol-relaxed geometry. Source: the Alexandria database, functional meta-GGA SCAN.

Unit cell a=10.823 b=3.883 c=11.120 alpha=90.00 beta=108.85 gamma=90.00
Fractional positions:
Sm  0.048  0.250  0.194
Sm  0.952  0.750  0.806
Er  0.160  0.250  0.585
Er  0.319  0.750  0.998
Er  0.438  0.250  0.332
Er  0.562  0.750  0.668
Er  0.681  0.250  0.002
Er  0.840  0.750  0.415
S  0.083  0.750  0.404
S  0.117  0.250  0.964
S  0.195  0.750  0.749
S  0.260  0.750  0.226
S  0.395  0.250  0.559
S  0.481  0.250  0.113
S  0.519  0.750  0.887
S  0.605  0.750  0.441
S  0.740  0.250  0.774
S  0.805  0.250  0.251
S  0.883  0.750  0.036
S  0.917  0.250  0.596

Calculated volume   442.3 Å³ per cell
Calculated density   6341 kg/m³
Energy   -553.90 eV per cell
Formation energy (no corrections)   -2288.3 kJ/mol of formula units

Entry 6:
GeBiN2 at its PBEsol-relaxed geometry. Source: the Alexandria database, functional meta-GGA SCAN.

Unit cell a=4.209 b=4.209 c=4.209 alpha=60.00 beta=60.00 gamma=60.00
Fractional positions:
Ge  0.000  0.000  0.000
Bi  0.500  0.500  0.500
N  0.250  0.250  0.250
N  0.750  0.750  0.750

Calculated volume   52.7 Å³ per cell
Calculated density   9748 kg/m³
Energy   -110.03 eV per cell
Density of states at the Fermi level   1.02 states/eV/cell
Formation energy (no corrections)   600.3 kJ/mol of formula units